Entry 1:
# ZrAg2

A crystal of ZrAg2 relaxed with PBEsol (meta-GGA SCAN, Alexandria via LeMat-Bulk).

a = 4.6999 Å, b = 4.6999 Å, c = 2.8078 Å
α = 90.00°, β = 90.00°, γ = 120.00°
Space group P6/mmm (No. 191)
One atom of each set of equivalent atoms:
Zr  0.0000  0.0000  0.0000 x1
Ag  0.3333  0.6667  0.5000 x2

Calculated values
offset from the most stable computed form	0	meV per atom
calculated volume	17.904	Å³/atom
ΔH_f (0 K)	-0.1054	eV per atom

Entry 2:
# ZrAg5

A crystal of ZrAg5 relaxed with PBEsol (meta-GGA SCAN, Alexandria via LeMat-Bulk).

a = 2.908 Å, b = 2.908 Å, c = 12.285 Å
α = 90.00°, β = 90.00°, γ = 90.00°
Space group P4/mmm (No. 123)
One atom of each set of equivalent atoms:
Zr  0.000  0.000  0.000 x1
Ag  0.000  0.000  0.340 x2
Ag  0.500  0.500  0.178 x2
Ag  0.500  0.500  0.500 x1

Calculated values
offset from the most stable computed form	0	meV per atom
calculated volume	17.311	Å³/atom
ΔH_f (0 K)	-0.0080	eV per atom

Entry 3:
# Zr2Ag3

A crystal of Zr2Ag3 relaxed with PBEsol (meta-GGA SCAN, Alexandria via LeMat-Bulk).

a = 9.867 Å, b = 3.242 Å, c = 7.205 Å
α = 90.00°, β = 125.35°, γ = 90.00°
Space group C2/m (No. 12)
One atom of each set of equivalent atoms:
Zr  0.196  0.000  0.290 x4
Ag  0.000  0.000  0.500 x2
Ag  0.101  0.500  0.889 x4

Calculated values
offset from the most stable computed form	25	meV per atom
calculated volume	18.797	Å³/atom
ΔH_f (0 K)	-0.0432	eV per atom